(1)
DFT (GGA-PBE) results for a relaxed RbPu2CdBr8 crystal.

POSCAR file:
```
RbPu2CdBr8
1.0
7.180 0.163 -0.005
0.266 6.927 -0.008
0.007 0.011 9.081
Br Cd Rb Pu
8 1 1 2
direct
0.651 0.735 0.000
0.349 0.265 0.000
0.160 0.752 0.788
0.840 0.248 0.788
0.623 0.722 0.500
0.160 0.752 0.212
0.840 0.248 0.212
0.377 0.278 0.500
0.000 0.000 0.000
0.000 0.000 0.500
0.500 0.500 0.242
0.500 0.500 0.758
```

**Formation energy (no corrections)**: -1.366 eV/atom
**Raw total energy**: -5.027 eV per atom
**Size of the total moment**: 11.00 μB/cell

(2)
DFT (GGA-PBE) results for a relaxed K2LiMo crystal.

POSCAR file:
```
K2LiMo
1.0
5.927 -0.054 0.000
0.051 5.927 0.000
-2.989 -2.936 4.192
K Li Mo
2 1 1
direct
0.000 0.000 0.000
0.250 0.750 0.500
0.500 0.500 0.000
0.750 0.250 0.500
```

**Formation energy from the elements**: 1.165 eV/atom
**Raw total energy**: -2.570 eV per atom
**Size of the total moment**: 4.77 μB/cell
**Excess energy over the best structure of this formula in the dataset**: 0.151 eV per atom

(3)
DFT (GGA-PBE) results for a relaxed BaCeNd2Se4 crystal.

POSCAR file:
```
BaCeNd2Se4
1.0
4.301 0.000 0.000
0.000 7.531 -0.177
0.000 2.624 7.064
Se Nd Ba Ce
4 2 1 1
direct
0.000 0.243 0.242
0.500 0.766 0.233
0.500 0.234 0.767
0.000 0.757 0.758
0.500 0.000 0.500
0.000 0.000 0.000
0.000 0.500 0.500
0.500 0.500 0.000
```

**Formation energy (no corrections)**: -1.833 eV/atom
**Raw total energy**: -5.750 eV per atom
**Size of the total moment**: 1.16 μB/cell

(4)
DFT (GGA-PBE) results for a relaxed Hf2ScBr crystal.

POSCAR file:
```
Hf2ScBr
1.0
4.068 0.000 0.000
0.000 4.068 0.000
2.034 2.034 11.237
Hf Sc Br
4 2 2
direct
0.622 0.125 0.250
0.128 0.625 0.250
0.875 0.872 0.750
0.375 0.378 0.750
0.250 0.750 0.500
0.500 0.500 0.000
0.750 0.250 0.500
0.000 0.000 0.000
```

**Formation energy (no corrections)**: 0.285 eV/atom
**Raw total energy**: -6.693 eV per atom
**Size of the total moment**: 0.00 μB/cell
**Excess energy over the best structure of this formula in the dataset**: 0.000 eV per atom

(5)
DFT (GGA-PBE) results for a relaxed Zr2HgRu crystal.

POSCAR file:
```
Zr2HgRu
1.0
4.503 0.000 0.000
0.000 3.335 0.066
0.000 1.596 5.429
Zr Ru Hg
2 1 1
direct
0.000 0.974 0.922
0.500 0.296 0.291
0.500 0.525 0.819
0.000 0.705 0.467
```

**Formation energy from the elements**: -0.256 eV/atom
**Raw total energy**: -6.925 eV per atom
**Size of the total moment**: 0.00 μB/cell

(6)
DFT (GGA-PBE) results for a relaxed Al2Sn2Pb crystal.

POSCAR file:
```
Al2Sn2Pb
1.0
-1.521 -7.961 1.680
6.154 -0.007 5.535
-2.287 0.974 2.544
Sn Pb Al
4 2 4
direct
0.329 0.171 0.500
0.671 0.829 0.500
0.829 0.329 0.500
0.171 0.671 0.500
0.000 0.000 0.000
0.500 0.500 0.000
0.378 0.878 0.000
0.878 0.622 0.000
0.122 0.378 0.000
0.622 0.122 0.000
```

**Formation energy from the elements**: 0.138 eV/atom
**Raw total energy**: -3.702 eV per atom
**Size of the total moment**: 0.00 μB/cell
**Excess energy over the best structure of this formula in the dataset**: 0.002 eV per atom

(7)
DFT (GGA-PBE) results for a relaxed Hg2PbIN crystal.

POSCAR file:
```
Hg2PbIN
1.0
-2.798 -2.998 2.502
0.968 -3.515 -3.129
4.477 -1.560 3.138
I Hg Pb N
1 2 1 1
direct
0.000 0.000 0.500
0.500 0.000 0.000
0.000 0.500 0.000
0.500 0.500 0.500
0.000 0.000 0.000
```

**Formation energy (no corrections)**: 0.751 eV/atom
**Raw total energy**: -2.087 eV per atom
**Size of the total moment**: 0.00 μB/cell

(8)
DFT (GGA-PBE) results for a relaxed Nb8C2N crystal.

POSCAR file:
```
Nb8C2N
1.0
4.658 -0.137 0.008
-0.045 5.920 1.471
-0.222 0.144 6.094
C Nb N
2 8 1
direct
0.260 0.615 0.615
0.740 0.385 0.385
0.761 0.096 0.672
0.761 0.672 0.096
0.720 0.161 0.161
0.239 0.328 0.904
0.280 0.839 0.839
0.757 0.611 0.611
0.239 0.904 0.328
0.243 0.389 0.389
0.000 0.000 0.000
```

**Formation energy (no corrections)**: -0.434 eV/atom
**Raw total energy**: -10.191 eV per atom
**Size of the total moment**: 0.00 μB/cell

(9)
DFT (GGA-PBE) results for a relaxed La5DyCd4 crystal.

POSCAR file:
```
La5DyCd4
1.0
3.395 0.000 0.000
0.000 3.395 0.000
0.000 0.000 27.325
La Cd Dy
5 4 1
direct
0.500 0.500 0.621
0.500 0.500 0.798
0.500 0.500 0.379
0.500 0.500 0.500
0.500 0.500 0.202
0.000 0.000 0.291
0.000 0.000 0.887
0.000 0.000 0.709
0.000 0.000 0.113
0.000 0.000 0.000
```

**Formation energy from the elements**: 0.039 eV/atom
**Raw total energy**: -3.251 eV per atom
**Size of the total moment**: 0.00 μB/cell

(10)
DFT (GGA-PBE) results for a relaxed TiReAs2Se crystal.

POSCAR file:
```
TiReAs2Se
1.0
4.673 0.000 0.000
0.000 4.673 0.000
0.000 0.000 5.359
Re Se As Ti
1 1 2 1
direct
0.000 0.000 0.000
0.000 0.000 0.500
0.500 0.000 0.000
0.000 0.500 0.000
0.500 0.500 0.500
```

**Formation energy (no corrections)**: 0.766 eV/atom
**Raw total energy**: -5.859 eV per atom
**Size of the total moment**: 0.07 μB/cell
**Excess energy over the best structure of this formula in the dataset**: 0.000 eV per atom

| no. | N(E_F) (states/eV per cell) |
| --- | --- |
| 1 | 29.66 |
| 2 | 2.11 |
| 3 | 9.68 |
| 4 | 12.78 |
| 5 | 2.62 |
| 6 | 4.92 |
| 7 | 3.42 |
| 8 | 5.37 |
| 9 | 10.07 |
| 10 | 9.23 |